*a*
Below is crystalline CrTc2Au at its relaxed geometry, with properties calculated at the GGA-PBEsol level.

a = 2.6899 Å, b = 2.6899 Å, c = 7.7789 Å
α = 90.00°, β = 90.00°, γ = 90.00°
Closest atoms and distances in Å follow each position.
Sites, in units of the cell vectors:
Cr 0.5000 0.5000 0.7667  4 Tc 2.59, 4 Cr 2.69, 4 Au 2.76
Tc 0.0000 0.0000 0.9934  4 Cr 2.59, 8 Tc 2.65-2.69
Tc 0.5000 0.5000 0.2302  8 Tc 2.65-2.69, 4 Au 2.89
Au 0.0000 0.0000 0.5098  4 Au 2.69, 4 Cr 2.76, 4 Tc 2.89

- space-group type = No. 99
- crystal system = tetragonal
- ρ (g/cm³) = 13.13
- volume (A^3/atom) = 14.1

*b*
Below is crystalline CrTc2Au at its relaxed geometry, with properties calculated at the GGA-PBEsol level.

a = 2.6824 Å, b = 2.6824 Å, c = 7.7645 Å
α = 90.00°, β = 90.00°, γ = 90.01°
Closest atoms and distances in Å follow each position.
Sites, in units of the cell vectors:
Tc 0.0000 0.0000 0.7816  4 Cr 2.54, 4 Tc 2.68
Tc 0.0000 0.0000 0.2184  4 Cr 2.54, 4 Tc 2.68
Cr 0.5000 0.5000 0.0000  8 Tc 2.54, 4 Cr 2.68
Au 0.5000 0.5000 0.5000  4 Au 2.68, 8 Tc 2.89

- space-group type = No. 123
- crystal system = tetragonal
- ρ (g/cm³) = 13.23
- volume (A^3/atom) = 14.0

*b* is favored, and the nearest alternative lies 2.9 kJ/mol of atoms above it.

*a*
Below is crystalline CrTe2Au at its relaxed geometry, with properties calculated at the GGA-PBEsol level.

a = 3.9656 Å, b = 3.9656 Å, c = 7.0030 Å
α = 73.55°, β = 73.55°, γ = 60.00°
Closest atoms and distances in Å follow each position.
Sites, in units of the cell vectors:
Te 0.2567 0.2567 0.2299  3 Cr 2.75, 3 Au 2.90
Te 0.7433 0.7433 0.7701  3 Cr 2.75, 3 Au 2.90
Au 0.5000 0.5000 0.5000  6 Te 2.90
Cr 0.0000 0.0000 0.0000  6 Te 2.75

- space-group type = No. 166
- crystal system = trigonal
- ρ (g/cm³) = 9.29
- volume (A^3/atom) = 22.5

*b*
Below is crystalline CrTe2Au at its relaxed geometry, with properties calculated at the GGA-PBEsol level.

a = 4.4319 Å, b = 4.8883 Å, c = 4.4319 Å
α = 90.00°, β = 76.27°, γ = 90.00°
Closest atoms and distances in Å follow each position.
Sites, in units of the cell vectors:
Te 0.0788 0.0000 0.0788  3 Au 2.76-2.83, 2 Cr 2.77
Te 0.6664 0.5000 0.6664  2 Au 2.79, 3 Cr 2.79-2.83
Au 0.4748 0.0000 0.4748  5 Te 2.76-2.83, 2 Cr 2.84
Cr 0.2669 0.5000 0.2669  5 Te 2.77-2.83, 2 Au 2.84

- space-group type = No. 38
- crystal system = orthorhombic
- ρ (g/cm³) = 8.98
- volume (A^3/atom) = 23.3

*c*
Below is crystalline CrTe2Au at its relaxed geometry, with properties calculated at the GGA-PBEsol level.

a = 3.9383 Å, b = 3.9383 Å, c = 8.2810 Å
α = 76.24°, β = 76.24°, γ = 60.00°
Closest atoms and distances in Å follow each position.
Sites, in units of the cell vectors:
Te 0.8927 0.8927 0.3220  1 Au 2.56, 3 Cr 2.68
Te 0.1073 0.1073 0.6780  1 Au 2.56, 3 Cr 2.68
Au 0.0000 0.0000 0.0000  2 Te 2.56
Cr 0.5000 0.5000 0.5000  6 Te 2.68

- space-group type = No. 166
- crystal system = trigonal
- ρ (g/cm³) = 7.83
- volume (A^3/atom) = 26.7

*d*
Below is crystalline CrTe2Au at its relaxed geometry, with properties calculated at the GGA-PBEsol level.

a = 3.6436 Å, b = 4.7960 Å, c = 4.7960 Å
α = 92.53°, β = 90.00°, γ = 90.00°
Closest atoms and distances in Å follow each position.
Sites, in units of the cell vectors:
Au 0.5000 0.0000 0.0000  8 Te 3.01, 2 Cr 3.32
Cr 0.5000 0.5000 0.5000  8 Te 3.01, 2 Au 3.32
Te 0.0000 0.5000 0.0000  4 Au 3.01, 4 Cr 3.01, 2 Te 3.32
Te 0.0000 0.0000 0.5000  4 Cr 3.01, 4 Au 3.01, 2 Te 3.32

- space-group type = No. 65
- crystal system = orthorhombic
- ρ (g/cm³) = 10.00
- volume (A^3/atom) = 20.9

*c* is favored, and the nearest alternative lies 3.5 kJ/mol of atoms above it.

*a*
Below is crystalline Cr2WAu at its relaxed geometry, with properties calculated at the GGA-PBEsol level.

a = 2.6326 Å, b = 2.6326 Å, c = 8.4740 Å
α = 90.00°, β = 90.00°, γ = 107.70°
Closest atoms and distances in Å follow each position.
Sites, in units of the cell vectors:
Cr 0.0000 0.0000 0.7403  2 W 2.56, 4 Cr 2.63, 2 Au 2.69
Cr 0.0000 0.0000 0.2597  2 W 2.56, 4 Cr 2.63, 2 Au 2.69
W 0.5000 0.5000 0.5000  4 Cr 2.56, 4 W 2.63
Au 0.5000 0.5000 0.0000  4 Au 2.63, 4 Cr 2.69

- space-group type = No. 65
- crystal system = orthorhombic
- ρ (g/cm³) = 14.39
- volume (A^3/atom) = 14.0

*b*
Below is crystalline Cr2WAu at its relaxed geometry, with properties calculated at the GGA-PBEsol level.

a = 2.8653 Å, b = 2.8653 Å, c = 8.3904 Å
α = 80.17°, β = 80.17°, γ = 60.00°
Closest atoms and distances in Å follow each position.
Sites, in units of the cell vectors:
Au 0.0000 0.0000 0.0000  6 Cr 2.76, 6 Au 2.87
Cr 0.2438 0.2438 0.2685  3 W 2.52, 3 Au 2.76
Cr 0.7562 0.7562 0.7315  3 W 2.52, 3 Au 2.76
W 0.5000 0.5000 0.5000  6 Cr 2.52

- space-group type = No. 166
- crystal system = trigonal
- ρ (g/cm³) = 13.76
- volume (A^3/atom) = 14.6

*a* is favored, and the nearest alternative lies 18.8 kJ/mol of atoms above it.